Entry w
# BeFeNi2Bi, relaxed, DFT PBE
# - Fermi-level density of states (states/eV/atom) = 1.38
data_BeFeNi2Bi
_chemical_formula_sum 'Be1 Fe1 Ni2 Bi1'
_cell_length_a 4.0135
_cell_length_b 4.0135
_cell_length_c 4.7923
_cell_angle_alpha 90.00
_cell_angle_beta 90.00
_cell_angle_gamma 90.00
_symmetry_space_group_name_H-M 'P 4/m m m'
_symmetry_Int_Tables_number 123
_symmetry_space_group_name_Hall '-P 4 2'
loop_
_atom_site_label
_atom_site_fract_x
_atom_site_fract_y
_atom_site_fract_z
Be1 0.0000 0.0000 0.0000
Fe1 0.5000 0.5000 0.5000
Ni1 0.0000 0.5000 0.0000
Bi1 0.0000 0.0000 0.5000

***

Entry x
# BeFeNi2Bi, relaxed, DFT PBE
# - Fermi-level density of states (states/eV/atom) = 0.85
data_BeFeNi2Bi
_chemical_formula_sum 'Be1 Fe1 Ni2 Bi1'
_cell_length_a 4.0834
_cell_length_b 4.0834
_cell_length_c 4.1587
_cell_angle_alpha 90.00
_cell_angle_beta 90.00
_cell_angle_gamma 90.00
_symmetry_space_group_name_H-M 'P 4/m m m'
_symmetry_Int_Tables_number 123
_symmetry_space_group_name_Hall '-P 4 2'
loop_
_atom_site_label
_atom_site_fract_x
_atom_site_fract_y
_atom_site_fract_z
Be1 0.0000 0.0000 0.0000
Fe1 0.0000 0.0000 0.5000
Ni1 0.0000 0.5000 0.0000
Bi1 0.5000 0.5000 0.5000

***

Q: Which of them is the least stable? A: entry w.

***

Entry w
# BeGaBi2, relaxed, DFT PBE
# - Fermi-level density of states (states/eV/atom) = 0.46
data_BeGaBi2
_chemical_formula_sum 'Be4 Ga4 Bi8'
_cell_length_a 7.2300
_cell_length_b 7.2300
_cell_length_c 7.2300
_cell_angle_alpha 90.00
_cell_angle_beta 90.00
_cell_angle_gamma 90.00
_symmetry_space_group_name_H-M 'F m -3 m'
_symmetry_Int_Tables_number 225
_symmetry_space_group_name_Hall '-F 4 2 3'
loop_
_atom_site_label
_atom_site_fract_x
_atom_site_fract_y
_atom_site_fract_z
Be1 0.0000 0.0000 0.0000
Ga1 0.0000 0.0000 0.5000
Bi1 0.2500 0.2500 0.2500

***

Entry x
# BeGaBi2, relaxed, DFT PBE
# - Fermi-level density of states (states/eV/atom) = 0.46
data_BeGaBi2
_chemical_formula_sum 'Be4 Ga4 Bi8'
_cell_length_a 5.9722
_cell_length_b 5.9722
_cell_length_c 12.8501
_cell_angle_alpha 90.00
_cell_angle_beta 90.00
_cell_angle_gamma 90.00
_symmetry_space_group_name_H-M 'I -4 2 d'
_symmetry_Int_Tables_number 122
_symmetry_space_group_name_Hall 'I -4 2bw'
loop_
_atom_site_label
_atom_site_fract_x
_atom_site_fract_y
_atom_site_fract_z
Be1 0.0000 0.0000 0.0000
Ga1 0.0000 0.0000 0.5000
Bi1 0.2122 0.2500 0.1250

***

Entry y
# BeGaBi2, relaxed, DFT PBE
# - Fermi-level density of states (states/eV/atom) = 0.66
data_BeGaBi2
_chemical_formula_sum 'Be3 Ga3 Bi6'
_cell_length_a 4.2152
_cell_length_b 4.2152
_cell_length_c 24.1891
_cell_angle_alpha 90.00
_cell_angle_beta 90.00
_cell_angle_gamma 120.00
_symmetry_space_group_name_H-M 'R -3 m'
_symmetry_Int_Tables_number 166
_symmetry_space_group_name_Hall '-R 3 2"'
loop_
_atom_site_label
_atom_site_fract_x
_atom_site_fract_y
_atom_site_fract_z
Be1 0.0000 0.0000 0.0000
Ga1 0.0000 0.0000 0.5000
Bi1 0.0000 0.0000 0.1006

***

Q: Which of them is the least stable? A: entry y.

***

Entry w
# Be3GeBi, relaxed, DFT PBE
# - Fermi-level density of states (states/eV/atom) = 0.59
data_Be3GeBi
_chemical_formula_sum 'Be3 Ge1 Bi1'
_cell_length_a 4.4179
_cell_length_b 4.4179
_cell_length_c 4.4179
_cell_angle_alpha 90.00
_cell_angle_beta 90.00
_cell_angle_gamma 90.00
_symmetry_space_group_name_H-M 'P m -3 m'
_symmetry_Int_Tables_number 221
_symmetry_space_group_name_Hall '-P 4 2 3'
loop_
_atom_site_label
_atom_site_fract_x
_atom_site_fract_y
_atom_site_fract_z
Be1 0.0000 0.0000 0.5000
Ge1 0.0000 0.0000 0.0000
Bi1 0.5000 0.5000 0.5000

***

Entry x
# Be3GeBi, relaxed, DFT PBE
# - Fermi-level density of states (states/eV/atom) = 0.85
data_Be3GeBi
_chemical_formula_sum 'Be3 Ge1 Bi1'
_cell_length_a 4.7629
_cell_length_b 4.7629
_cell_length_c 4.7629
_cell_angle_alpha 90.00
_cell_angle_beta 90.00
_cell_angle_gamma 90.00
_symmetry_space_group_name_H-M 'P m -3 m'
_symmetry_Int_Tables_number 221
_symmetry_space_group_name_Hall '-P 4 2 3'
loop_
_atom_site_label
_atom_site_fract_x
_atom_site_fract_y
_atom_site_fract_z
Be1 0.0000 0.0000 0.5000
Ge1 0.5000 0.5000 0.5000
Bi1 0.0000 0.0000 0.0000

***

Q: Which of them is the least stable? A: entry x.

***

Entry w
# BeGeBi2, relaxed, DFT PBE
# - Fermi-level density of states (states/eV/atom) = 0.64
data_BeGeBi2
_chemical_formula_sum 'Be4 Ge4 Bi8'
_cell_length_a 7.2344
_cell_length_b 7.2344
_cell_length_c 7.2344
_cell_angle_alpha 90.00
_cell_angle_beta 90.00
_cell_angle_gamma 90.00
_symmetry_space_group_name_H-M 'F m -3 m'
_symmetry_Int_Tables_number 225
_symmetry_space_group_name_Hall '-F 4 2 3'
loop_
_atom_site_label
_atom_site_fract_x
_atom_site_fract_y
_atom_site_fract_z
Be1 0.0000 0.0000 0.0000
Ge1 0.0000 0.0000 0.5000
Bi1 0.2500 0.2500 0.2500

***

Entry x
# BeGeBi2, relaxed, DFT PBE
# - Fermi-level density of states (states/eV/atom) = 0.02
data_BeGeBi2
_chemical_formula_sum 'Be4 Ge4 Bi8'
_cell_length_a 6.1163
_cell_length_b 6.1163
_cell_length_c 12.3875
_cell_angle_alpha 90.00
_cell_angle_beta 90.00
_cell_angle_gamma 90.00
_symmetry_space_group_name_H-M 'I -4 2 d'
_symmetry_Int_Tables_number 122
_symmetry_space_group_name_Hall 'I -4 2bw'
loop_
_atom_site_label
_atom_site_fract_x
_atom_site_fract_y
_atom_site_fract_z
Be1 0.0000 0.0000 0.0000
Ge1 0.0000 0.0000 0.5000
Bi1 0.2146 0.2500 0.1250

***

Q: Which of them is the least stable? A: entry w.

***

Entry w
# ZrBe2GeBi, relaxed, DFT PBE
# - Fermi-level density of states (states/eV/atom) = 0.76
data_ZrBe2GeBi
_chemical_formula_sum 'Zr1 Be2 Ge1 Bi1'
_cell_length_a 4.4445
_cell_length_b 4.4445
_cell_length_c 5.8706
_cell_angle_alpha 90.00
_cell_angle_beta 90.00
_cell_angle_gamma 90.00
_symmetry_space_group_name_H-M 'P 4/m m m'
_symmetry_Int_Tables_number 123
_symmetry_space_group_name_Hall '-P 4 2'
loop_
_atom_site_label
_atom_site_fract_x
_atom_site_fract_y
_atom_site_fract_z
Zr1 0.0000 0.0000 0.0000
Be1 0.0000 0.5000 0.5000
Ge1 0.5000 0.5000 0.0000
Bi1 0.0000 0.0000 0.5000

***

Entry x
# ZrBe2GeBi, relaxed, DFT PBE
# - Fermi-level density of states (states/eV/atom) = 0.53
data_ZrBe2GeBi
_chemical_formula_sum 'Zr1 Be2 Ge1 Bi1'
_cell_length_a 4.8183
_cell_length_b 4.8183
_cell_length_c 5.5653
_cell_angle_alpha 90.00
_cell_angle_beta 90.00
_cell_angle_gamma 90.00
_symmetry_space_group_name_H-M 'P 4/m m m'
_symmetry_Int_Tables_number 123
_symmetry_space_group_name_Hall '-P 4 2'
loop_
_atom_site_label
_atom_site_fract_x
_atom_site_fract_y
_atom_site_fract_z
Zr1 0.0000 0.0000 0.0000
Be1 0.0000 0.5000 0.0000
Ge1 0.5000 0.5000 0.5000
Bi1 0.0000 0.0000 0.5000

***

Q: Which of them is the least stable? A: entry x.

***

Entry w
# BeBiH3, relaxed, DFT PBE
# - Fermi-level density of states (states/eV/atom) = 0.18
data_BeBiH3
_chemical_formula_sum 'Be1 Bi1 H3'
_cell_length_a 4.2204
_cell_length_b 4.2204
_cell_length_c 4.2204
_cell_angle_alpha 90.00
_cell_angle_beta 90.00
_cell_angle_gamma 90.00
_symmetry_space_group_name_H-M 'P m -3 m'
_symmetry_Int_Tables_number 221
_symmetry_space_group_name_Hall '-P 4 2 3'
loop_
_atom_site_label
_atom_site_fract_x
_atom_site_fract_y
_atom_site_fract_z
Be1 0.0000 0.0000 0.0000
Bi1 0.5000 0.5000 0.5000
H1 0.0000 0.5000 0.5000

***

Entry x
# BeBiH3, relaxed, DFT PBE
# - Fermi-level density of states (states/eV/atom) = 0.39
data_BeBiH3
_chemical_formula_sum 'Be1 Bi1 H3'
_cell_length_a 3.6354
_cell_length_b 3.6354
_cell_length_c 3.6354
_cell_angle_alpha 90.00
_cell_angle_beta 90.00
_cell_angle_gamma 90.00
_symmetry_space_group_name_H-M 'P m -3 m'
_symmetry_Int_Tables_number 221
_symmetry_space_group_name_Hall '-P 4 2 3'
loop_
_atom_site_label
_atom_site_fract_x
_atom_site_fract_y
_atom_site_fract_z
Be1 0.0000 0.0000 0.0000
Bi1 0.5000 0.5000 0.5000
H1 0.0000 0.0000 0.5000

***

Q: Which of them is the least stable? A: entry w.